No. 1
VASP calculation (PBE) on Be2CdBMo after structural relaxation.

Properties
M_tot = 0.015 μB per atom
Energy of formation from the pure elements = 2.16 eV per atom

abc: 4.3270 5.3271 4.3270
angles: 90.00 90.00 90.00
With the nearest neighbours (Å) after each atom.
Sites, in units of the cell vectors:
Be: 0.0000 0.0000 0.5000  2 Mo 2.16
Be: 0.5000 0.0000 0.0000  2 Mo 2.16
Mo: 0.0000 0.0000 0.0000  4 Be 2.16
B: 0.5000 0.5000 0.5000  4 Cd 3.06
Cd: 0.0000 0.5000 0.0000  2 Mo 2.66


No. 2
VASP calculation (PBE) on BeCdBMo2 after structural relaxation.

Properties
M_tot = 0.000 μB per atom
Energy of formation from the pure elements = 0.71 eV per atom

abc: 4.1837 4.3385 4.1837
angles: 90.00 90.00 90.00
With the nearest neighbours (Å) after each atom.
Sites, in units of the cell vectors:
Be: 0.5000 0.5000 0.5000  4 Cd 2.96, 8 Mo 3.01
Mo: 0.0000 0.0000 0.5000  2 B 2.09
Mo: 0.5000 0.0000 0.0000  2 B 2.09
B: 0.0000 0.0000 0.0000  4 Mo 2.09, 2 Cd 2.17
Cd: 0.0000 0.5000 0.0000  2 B 2.17